# Er3Tm2Mg

A geometry-optimized Er3Tm2Mg structure (GGA-PBE, Alexandria).

Cell: 3.503 3.503 14.299 Å, 90.00 90.00 90.00°
Positions (direct):
Er (0.000, 0.000, 0.000)
Er (0.000, 0.000, 0.657)
Er (0.000, 0.000, 0.343)
Tm (0.500, 0.500, 0.827)
Tm (0.500, 0.500, 0.173)
Mg (0.500, 0.500, 0.500)

Total magnetic moment: 0.00 μB per formula unit
Energy relative to the elements: -0.01 eV/atom